[1]
This record from Alexandria describes a relaxed Ga2CoAu2 crystal. The functional is PBE-GGA.

## Properties
Mass density, g/cm³: 12.1
Excess energy over the best structure of this formula in the dataset, meV/atom: 0
ΔH_f (0 K), eV per atom: 0.107
Fermi-level density of states, states/eV per cell: 5.2
Electronic total energy, eV per cell: -38.4

a b c (Å): 6.506 6.506 3.854
angles (deg): 90.00 90.00 90.00
Each line ends with the local moment (μB).
Element x y z (fractional)
1 Au 0.662 0.838 0.500  -0.01
2 Au 0.338 0.162 0.500  -0.01
3 Au 0.162 0.662 0.500  -0.01
4 Au 0.838 0.338 0.500  -0.01
5 Ga 0.149 0.351 0.000  -0.02
6 Ga 0.649 0.149 0.000  -0.02
7 Ga 0.851 0.649 0.000  -0.02
8 Ga 0.351 0.851 0.000  -0.02
9 Co 0.000 0.000 0.000  0.95
10 Co 0.500 0.500 0.000  0.95


[2]
This record from Alexandria describes a relaxed GaCo2HAu crystal. The functional is PBE-GGA.

## Properties
Mass density, g/cm³: 11.5
Fermi-level density of states, states/eV per cell: 4.3
Electronic total energy, eV per cell: -23.4

a b c (Å): 3.791 3.791 3.870
angles (deg): 90.00 90.00 90.00
Each line ends with the local moment (μB).
Element x y z (fractional)
1 Co 0.500 0.000 0.000  0.63
2 Co 0.000 0.500 0.000  0.63
3 H 0.000 0.000 0.000  -0.01
4 Au 0.000 0.000 0.500  0.00
5 Ga 0.500 0.500 0.500  -0.04


[3]
This record from Alexandria describes a relaxed HfGaCoAu crystal. The functional is PBE-GGA.

## Properties
Mass density, g/cm³: 12.9
ΔH_f (0 K), eV per atom: -0.282
Fermi-level density of states, states/eV per cell: 2.7
Electronic total energy, eV per cell: -24.5

a b c (Å): 4.508 4.508 4.508
angles (deg): 60.00 60.00 60.00
Each line ends with the local moment (μB).
Element x y z (fractional)
1 Hf 0.750 0.750 0.750  -0.04
2 Co 0.500 0.500 0.500  0.98
3 Au 0.000 0.000 0.000  0.05
4 Ga 0.250 0.250 0.250  0.02


[4]
This record from Alexandria describes a relaxed La2GaCoAu crystal. The functional is PBE-GGA.

## Properties
Mass density, g/cm³: 7.9
ΔH_f (0 K), eV per atom: -0.485
Fermi-level density of states, states/eV per cell: 3.6
Electronic total energy, eV per cell: -25.7

a b c (Å): 5.269 5.269 4.554
angles (deg): 90.00 90.00 90.00
Element x y z (fractional)
1 Ga 0.000 0.000 0.500
2 Co 0.000 0.000 0.000
3 Au 0.500 0.500 0.500
4 La 0.500 0.000 0.000
5 La 0.000 0.500 0.000


[5]
This record from Alexandria describes a relaxed MnGaCoAu crystal. The functional is PBE-GGA.

## Properties
Mass density, g/cm³: 11.0
ΔH_f (0 K), eV per atom: -0.032
Fermi-level density of states, states/eV per cell: 2.2
Electronic total energy, eV per cell: -22.7

a b c (Å): 4.333 4.333 4.333
angles (deg): 60.00 60.00 60.00
Each line ends with the local moment (μB).
Element x y z (fractional)
1 Au 0.500 0.500 0.500  0.08
2 Ga 0.250 0.250 0.250  -0.04
3 Co 0.000 0.000 0.000  1.34
4 Mn 0.750 0.750 0.750  3.55